No. 1
Below is a relaxed Nd2Tl3SbTe6 crystal, with properties calculated at the PBE-GGA level.

Structure (POSCAR):
```
Nd2Tl3SbTe6
1.0
3.946 -6.840 0.000
3.946 6.840 0.000
-2.635 0.000 8.098
Nd Tl Sb Te
2 3 1 6
Direct
0.166 0.834 0.000
0.834 0.166 0.000
0.000 0.000 0.500
0.329 0.671 0.500
0.671 0.329 0.500
0.500 0.500 0.000
0.104 0.428 0.784
0.249 0.249 0.221
0.428 0.104 0.784
0.572 0.896 0.216
0.751 0.751 0.779
0.896 0.572 0.216
```

Values from the calculation:
SG   No. 12
VASP energy   -4.08 eV per atom
Mass density   6.80 Mg/m³
Raw formation energy   -0.78 eV per atom
Total magnetization   0.0 μB/cell

=====

No. 2
Below is a relaxed Nd2TmSb2Te2 crystal, with properties calculated at the PBE-GGA level.

Structure (POSCAR):
```
Nd2TmSb2Te2
1.0
-2.843 2.843 7.815
2.843 -2.843 7.815
2.843 2.843 -7.815
Nd Tm Sb Te
2 1 2 2
Direct
0.116 0.116 0.000
0.884 0.884 0.000
0.500 0.500 0.000
0.000 0.500 0.500
0.500 0.000 0.500
0.309 0.309 0.000
0.691 0.691 0.000
```

Values from the calculation:
SG   No. 139
VASP energy   -4.86 eV per atom
Mass density   6.29 Mg/m³
Raw formation energy   -0.79 eV per atom
Total magnetization   0.0 μB/cell

=====

No. 3
Below is a relaxed NdTh3Sb4 crystal, with properties calculated at the PBE-GGA level.

Structure (POSCAR):
```
NdTh3Sb4
1.0
7.817 0.000 0.000
0.000 8.988 0.000
-2.579 0.000 7.384
Nd Th Sb
2 6 8
Direct
0.000 0.124 0.250
0.000 0.876 0.750
0.000 0.375 0.750
0.000 0.625 0.250
0.500 0.124 0.750
0.500 0.375 0.250
0.500 0.625 0.750
0.500 0.876 0.250
0.250 0.375 0.500
0.250 0.625 0.000
0.251 0.125 0.000
0.251 0.875 0.500
0.749 0.125 0.500
0.749 0.875 0.000
0.750 0.375 0.000
0.750 0.625 0.500
```

Values from the calculation:
SG   No. 13
VASP energy   -6.43 eV per atom
Mass density   8.50 Mg/m³
Raw formation energy   -0.99 eV per atom
Total magnetization   0.0 μB/cell

=====

No. 4
Below is a relaxed Nd5Th3Sb8 crystal, with properties calculated at the PBE-GGA level.

Structure (POSCAR):
```
Nd5Th3Sb8
1.0
4.520 2.609 7.373
-4.520 2.609 7.373
0.000 -5.219 7.373
Nd Th Sb
5 3 8
Direct
0.000 0.000 0.000
0.000 0.500 0.500
0.500 0.000 0.500
0.500 0.500 0.000
0.500 0.500 0.500
0.000 0.000 0.500
0.000 0.500 0.000
0.500 0.000 0.000
0.249 0.750 0.750
0.250 0.250 0.250
0.250 0.250 0.751
0.250 0.751 0.250
0.750 0.249 0.750
0.750 0.750 0.249
0.750 0.750 0.750
0.751 0.250 0.250
```

Values from the calculation:
SG   No. 166
VASP energy   -6.04 eV per atom
Mass density   7.61 Mg/m³
Raw formation energy   -1.10 eV per atom
Total magnetization   0.0 μB/cell

=====

No. 5
Below is a relaxed NdTh3Sb4 crystal, with properties calculated at the PBE-GGA level.

Structure (POSCAR):
```
NdTh3Sb4
1.0
4.517 -6.376 0.000
4.517 6.376 0.000
0.000 0.000 4.504
Nd Th Sb
1 3 4
Direct
0.000 0.000 0.000
0.000 0.500 0.500
0.500 0.000 0.500
0.500 0.500 0.000
0.250 0.750 0.000
0.251 0.251 0.500
0.749 0.749 0.500
0.750 0.250 0.000
```

Values from the calculation:
SG   No. 65
VASP energy   -6.42 eV per atom
Mass density   8.50 Mg/m³
Raw formation energy   -0.98 eV per atom
Total magnetization   0.0 μB/cell

=====

No. 6
Below is a relaxed Nd3Th5Sb8 crystal, with properties calculated at the PBE-GGA level.

Structure (POSCAR):
```
Nd3Th5Sb8
1.0
4.514 2.606 7.362
-4.514 2.606 7.362
0.000 -5.212 7.362
Nd Th Sb
3 5 8
Direct
0.000 0.500 0.500
0.500 0.000 0.500
0.500 0.500 0.000
0.000 0.000 0.000
0.000 0.000 0.500
0.000 0.500 0.000
0.500 0.000 0.000
0.500 0.500 0.500
0.250 0.250 0.250
0.250 0.250 0.750
0.250 0.750 0.250
0.250 0.750 0.750
0.750 0.250 0.250
0.750 0.250 0.750
0.750 0.750 0.250
0.750 0.750 0.750
```

Values from the calculation:
SG   No. 166
VASP energy   -6.30 eV per atom
Mass density   8.20 Mg/m³
Raw formation energy   -1.02 eV per atom
Total magnetization   0.0 μB/cell

=====

No. 7
Below is a relaxed Nd4ThSb4 crystal, with properties calculated at the PBE-GGA level.

Structure (POSCAR):
```
Nd4ThSb4
1.0
-4.081 4.081 4.930
4.081 -4.081 4.930
4.081 4.081 -4.930
Nd Th Sb
4 1 4
Direct
0.000 0.500 0.500
0.168 0.168 0.000
0.500 0.000 0.500
0.832 0.832 0.000
0.500 0.500 0.000
0.114 0.587 0.000
0.413 0.413 0.527
0.587 0.114 0.000
0.886 0.886 0.473
```

Values from the calculation:
SG   No. 121
VASP energy   -5.34 eV per atom
Mass density   6.55 Mg/m³
Raw formation energy   -0.57 eV per atom
Total magnetization   0.0 μB/cell

=====

No. 8
Below is a relaxed NdTh5Sb6 crystal, with properties calculated at the PBE-GGA level.

Structure (POSCAR):
```
NdTh5Sb6
1.0
3.901 -6.762 0.000
3.901 6.762 0.000
-2.604 0.000 7.370
Nd Th Sb
1 5 6
Direct
0.000 0.000 0.000
0.166 0.834 0.500
0.334 0.666 0.000
0.500 0.500 0.500
0.666 0.334 0.000
0.834 0.166 0.500
0.083 0.417 0.250
0.250 0.250 0.750
0.417 0.083 0.250
0.583 0.917 0.750
0.750 0.750 0.250
0.917 0.583 0.750
```

Values from the calculation:
SG   No. 12
VASP energy   -6.51 eV per atom
Mass density   8.69 Mg/m³
Raw formation energy   -0.96 eV per atom
Total magnetization   0.0 μB/cell

=====

No. 9
Below is a relaxed NdTh5Sb8 crystal, with properties calculated at the PBE-GGA level.

Structure (POSCAR):
```
NdTh5Sb8
1.0
-4.722 4.722 4.734
4.722 -4.722 4.734
4.722 4.722 -4.734
Nd Th Sb
1 5 8
Direct
0.000 0.000 0.000
0.247 0.622 0.124
0.378 0.502 0.625
0.498 0.123 0.876
0.750 0.250 0.500
0.877 0.753 0.375
0.124 0.714 0.748
0.127 0.217 0.747
0.286 0.035 0.410
0.469 0.379 0.253
0.621 0.873 0.090
0.625 0.876 0.590
0.783 0.531 0.910
0.965 0.375 0.252
```

Values from the calculation:
SG   No. 82
VASP energy   -6.28 eV per atom
Mass density   8.96 Mg/m³
Raw formation energy   -0.93 eV per atom
Total magnetization   0.0 μB/cell

=====

No. 10
Below is a relaxed Nd2ThSb2 crystal, with properties calculated at the PBE-GGA level.

Structure (POSCAR):
```
Nd2ThSb2
1.0
-2.200 3.954 4.568
2.200 -3.954 4.568
2.200 3.954 -4.568
Nd Th Sb
2 1 2
Direct
0.197 0.197 0.000
0.803 0.803 0.000
0.500 0.000 0.500
0.221 0.500 0.721
0.779 0.500 0.279
```

Values from the calculation:
SG   No. 71
VASP energy   -5.75 eV per atom
Mass density   7.98 Mg/m³
Raw formation energy   -0.71 eV per atom
Total magnetization   0.0 μB/cell

=====

No. 11
Below is a relaxed Nd3TmTh2Sb6 crystal, with properties calculated at the PBE-GGA level.

Structure (POSCAR):
```
Nd3TmTh2Sb6
1.0
9.793 -2.248 0.000
9.793 2.248 0.000
-2.093 0.000 8.728
Nd Tm Th Sb
3 1 2 6
Direct
0.000 0.000 0.000
0.332 0.332 0.666
0.668 0.668 0.334
0.000 0.000 0.500
0.335 0.335 0.169
0.665 0.665 0.831
0.163 0.163 0.582
0.167 0.167 0.083
0.499 0.499 0.741
0.501 0.501 0.259
0.833 0.833 0.917
0.837 0.837 0.418
```

Values from the calculation:
SG   No. 12
VASP energy   -5.95 eV per atom
Mass density   7.76 Mg/m³
Raw formation energy   -1.08 eV per atom
Total magnetization   0.0 μB/cell

=====

No. 12
Below is a relaxed Nd2TmThSb5 crystal, with properties calculated at the PBE-GGA level.

Structure (POSCAR):
```
Nd2TmThSb5
1.0
5.216 0.000 0.000
0.000 5.216 0.000
0.000 0.000 11.873
Nd Tm Th Sb
2 1 1 5
Direct
0.000 0.000 0.215
0.000 0.000 0.785
0.500 0.500 0.000
0.500 0.500 0.500
0.000 0.000 0.500
0.000 0.500 0.000
0.500 0.000 0.000
0.500 0.500 0.250
0.500 0.500 0.750
```

Values from the calculation:
SG   No. 123
VASP energy   -4.98 eV per atom
Mass density   6.67 Mg/m³
Raw formation energy   -0.31 eV per atom
Total magnetization   0.0 μB/cell

=====

Number 10 is which compound? Nd2ThSb2